First-principles (GGA-PBEsol) data for a relaxed structure of BiTeW2, as listed in Alexandria.

Summary:
DFT total energy (eV per atom): -7.9192
Magnetic moment (μB/f.u.): 0.001
Formation energy without anion corrections (eV per atom): 0.937
Density (g cm⁻³): 15.6

a = 4.7326 Å, b = 4.7326 Å, c = 4.7326 Å
α = 60.00°, β = 60.00°, γ = 60.00°
With the nearest neighbours (Å) after each atom.
Atoms (fractional coordinates):
Te (0.0000, 0.0000, 0.0000)  8 W 2.90
W (0.2500, 0.2500, 0.2500)  4 Bi 2.90, 4 Te 2.90
W (0.7500, 0.7500, 0.7500)  4 Bi 2.90, 4 Te 2.90
Bi (0.5000, 0.5000, 0.5000)  8 W 2.90

First-principles (GGA-PBEsol) data for a relaxed structure of YBi3Te, as listed in Alexandria.

Summary:
DFT total energy (eV per atom): -4.1828
Magnetic moment (μB/f.u.): 0.000
Formation energy without anion corrections (eV per atom): 0.458
Density (g cm⁻³): 7.6

a = 5.7025 Å, b = 5.7025 Å, c = 5.7025 Å
α = 90.00°, β = 90.00°, γ = 90.00°
With the nearest neighbours (Å) after each atom.
Atoms (fractional coordinates):
Te (0.0000, 0.0000, 0.0000)  6 Bi 2.85
Bi (0.0000, 0.0000, 0.5000)  2 Te 2.85
Bi (0.0000, 0.5000, 0.0000)  2 Te 2.85
Bi (0.5000, 0.0000, 0.0000)  2 Te 2.85
Y (0.5000, 0.5000, 0.5000)  12 Bi 4.03

First-principles (GGA-PBEsol) data for a relaxed structure of YBiTe3, as listed in Alexandria.

Summary:
DFT total energy (eV per atom): -5.1304
Magnetic moment (μB/f.u.): 0.000
Formation energy without anion corrections (eV per atom): -0.793
Density (g cm⁻³): 6.8

a = 4.3182 Å, b = 4.3182 Å, c = 10.5538 Å
α = 78.20°, β = 78.20°, γ = 60.00°
With the nearest neighbours (Å) after each atom.
Atoms (fractional coordinates):
Te (0.7888, 0.7888, 0.6337)  3 Bi 3.02
Te (0.2143, 0.2143, 0.3572)  3 Y 2.99
Te (0.9960, 0.9960, 0.0119)  3 Y 3.13, 3 Bi 3.31
Y (0.6010, 0.6010, 0.1970)  6 Te 2.99-3.13
Bi (0.4000, 0.4000, 0.8001)  6 Te 3.02-3.31

First-principles (GGA-PBEsol) data for a relaxed structure of ZnBi2Te2, as listed in Alexandria.

Summary:
DFT total energy (eV per atom): -3.2786
Magnetic moment (μB/f.u.): 0.000
Formation energy without anion corrections (eV per atom): 0.162
Density (g cm⁻³): 8.5

a = 4.7445 Å, b = 7.7874 Å, c = 7.7874 Å
α = 90.00°, β = 90.00°, γ = 90.00°
With the nearest neighbours (Å) after each atom.
Atoms (fractional coordinates):
Bi (0.5000, 0.6478, 0.8522)  6 Te 3.11-3.43, 1 Bi 3.25
Bi (0.5000, 0.1478, 0.6478)  6 Te 3.11-3.43, 1 Bi 3.25
Bi (0.5000, 0.8522, 0.3522)  6 Te 3.11-3.43, 1 Bi 3.25
Bi (0.5000, 0.3522, 0.1478)  6 Te 3.11-3.43, 1 Bi 3.25
Te (0.0000, 0.1703, 0.3297)  2 Zn 2.89, 2 Bi 3.11
Te (0.0000, 0.6703, 0.1703)  2 Zn 2.89, 2 Bi 3.11
Te (0.0000, 0.8297, 0.6703)  2 Zn 2.89, 2 Bi 3.11
Te (0.0000, 0.3297, 0.8297)  2 Zn 2.89, 2 Bi 3.11
Zn (0.0000, 0.0000, 0.0000)  4 Te 2.89
Zn (0.0000, 0.5000, 0.5000)  4 Te 2.89

First-principles (GGA-PBEsol) data for a relaxed structure of ThBi3, as listed in Alexandria.

Summary:
DFT total energy (eV per atom): -5.6335
Magnetic moment (μB/f.u.): 0.000
Density (g cm⁻³): 12.2
Energy of formation (meV/atom): -393

a = 4.8953 Å, b = 4.8953 Å, c = 4.8953 Å
α = 90.00°, β = 90.00°, γ = 90.00°
With the nearest neighbours (Å) after each atom.
Atoms (fractional coordinates):
Th (0.0000, 0.0000, 0.0000)  12 Bi 3.46
Bi (0.0000, 0.5000, 0.5000)  8 Bi 3.46, 4 Th 3.46
Bi (0.5000, 0.0000, 0.5000)  8 Bi 3.46, 4 Th 3.46
Bi (0.5000, 0.5000, 0.0000)  8 Bi 3.46, 4 Th 3.46

First-principles (GGA-PBEsol) data for a relaxed structure of TiTlBi3, as listed in Alexandria.

Summary:
DFT total energy (eV per atom): -4.6425
Magnetic moment (μB/f.u.): 0.000
Density (g cm⁻³): 9.3
Energy of formation (meV/atom): 119

a = 5.3886 Å, b = 5.3886 Å, c = 5.3886 Å
α = 90.00°, β = 90.00°, γ = 90.00°
With the nearest neighbours (Å) after each atom.
Atoms (fractional coordinates):
Bi (0.5000, 0.0000, 0.0000)  2 Ti 2.69
Bi (0.0000, 0.0000, 0.5000)  2 Ti 2.69
Bi (0.0000, 0.5000, 0.0000)  2 Ti 2.69
Ti (0.0000, 0.0000, 0.0000)  6 Bi 2.69
Tl (0.5000, 0.5000, 0.5000)  12 Bi 3.81